[1]
A plane-wave DFT calculation with PBE+U was carried out for an optimized crystal structure of MnGaAsO6.

Computed properties:
- final energy (eV/cell) = -112.9
- spin magnetization (μB per formula unit) = 2.99
- SG = P-31c, No. 163

Cell lengths 4.904, 4.904, 8.524 Å; angles 90.00, 90.00, 120.00 degrees
Atoms (fractional coordinates):
Mn1 0.000 0.000 0.000
Mn2 0.000 0.000 0.500
Ga1 0.333 0.667 0.250
Ga2 0.667 0.333 0.750
As1 0.333 0.667 0.750
As2 0.667 0.333 0.250
O1 0.018 0.351 0.628
O2 0.018 0.666 0.872
O3 0.334 0.351 0.872
O4 0.334 0.982 0.628
O5 0.351 0.018 0.128
O6 0.351 0.334 0.372
O7 0.649 0.666 0.628
O8 0.649 0.982 0.872
O9 0.666 0.018 0.372
O10 0.666 0.649 0.128
O11 0.982 0.334 0.128
O12 0.982 0.649 0.372

=====

[2]
A plane-wave DFT calculation with PBE+U was carried out for an optimized crystal structure of MnGaAs2O6.

Computed properties:
- final energy (eV/cell) = -123.4
- spin magnetization (μB per formula unit) = 2.00
- SG = C2/c, No. 15

Cell lengths 7.363, 7.363, 5.083 Å; angles 93.02, 93.02, 71.89 degrees
Atoms (fractional coordinates):
Mn1 0.079 0.921 0.750
Mn2 0.921 0.079 0.250
Ga1 0.256 0.744 0.250
Ga2 0.744 0.256 0.750
As1 0.218 0.425 0.719
As2 0.425 0.218 0.219
As3 0.575 0.782 0.781
As4 0.782 0.575 0.281
O1 0.009 0.826 0.065
O2 0.163 0.649 0.575
O3 0.174 0.991 0.435
O4 0.317 0.467 0.062
O5 0.351 0.837 0.925
O6 0.467 0.317 0.562
O7 0.533 0.683 0.438
O8 0.649 0.163 0.075
O9 0.683 0.533 0.938
O10 0.826 0.009 0.565
O11 0.837 0.351 0.425
O12 0.991 0.174 0.935